DFT (PBE-GGA) results for NaTlBr3 after structural relaxation.

POSCAR file:
```
NaTlBr3
1.0
5.6044 0.0000 0.0000
0.0000 5.6044 0.0000
0.0000 0.0000 5.6044
Na Tl Br
1 1 3
direct
0.0000 0.0000 0.0000
0.5000 0.5000 0.5000
0.0000 0.0000 0.5000
0.0000 0.5000 0.0000
0.5000 0.0000 0.0000
```

- Mass density: 4.41 g/cm³
- E_form (uncorrected): -0.71 eV per atom